Sm4AlCdAg2 | PBE-GGA | optimized geometry

Results
* DFT formation energy: -0.292 eV per atom
* spin magnetization: 0.005 μB/cell
* SG: R-3m

a = 5.2826 Å, b = 5.2826 Å, c = 9.1839 Å
α = 73.29°, β = 73.29°, γ = 60.00°
Last column: nearest neighbours and their distance in Å.
Atoms (fractional coordinates):
1 Ag 0.7487 0.7487 0.7539  8 Sm 3.21-3.28
2 Sm 0.8729 0.8729 0.3814  3 Al 3.22, 4 Ag 3.23-3.27, 1 Cd 3.30
3 Sm 0.1271 0.1271 0.6186  3 Al 3.22, 4 Ag 3.23-3.27, 1 Cd 3.30
4 Al 0.5000 0.5000 0.5000  8 Sm 3.19-3.22
5 Ag 0.2513 0.2513 0.2461  8 Sm 3.21-3.28
6 Cd 0.0000 0.0000 0.0000  8 Sm 3.26-3.30
7 Sm 0.3774 0.3774 0.8678  1 Al 3.19, 4 Ag 3.21-3.28, 3 Cd 3.26
8 Sm 0.6226 0.6226 0.1322  1 Al 3.19, 4 Ag 3.21-3.28, 3 Cd 3.26